(1)
4
Lattice="-0.833 -3.950 0.817 -1.702 -1.044 3.602 -3.907 -1.296 0.133" Properties=species:S:1:pos:R:3 comment="PBE LiBOsW, relaxed" e_above_lowest_polymorph_mev_per_atom=115.1 pbc="T T T"
W -1.610 -1.572 1.138
B -3.221 -3.145 2.276
Os 0.000 0.000 0.000
Li -4.831 -4.717 3.414

---

(2)
4
Lattice="-3.344 -2.804 -0.153 -2.076 -1.124 3.673 -4.068 1.411 0.728" Properties=species:S:1:pos:R:3 comment="PBE CuMoPd2, relaxed" formation_energy_ev_per_atom=0.183 pbc="T T T"
Pd 0.000 0.000 0.000
Pd -7.116 -1.888 3.186
Mo -4.744 -1.259 2.124
Cu -2.372 -0.629 1.062

---

(3)
8
Lattice="0.758 4.133 -1.143 -3.187 -0.930 2.819 4.947 0.704 5.825" Properties=species:S:1:pos:R:3 comment="PBE LiZn2Au, relaxed" e_above_lowest_polymorph_mev_per_atom=88.4 pbc="T T T"
Zn 1.475 2.734 2.570
Zn -0.115 2.508 0.698
Zn 2.633 1.398 6.803
Zn 1.044 1.172 4.931
Au 3.153 2.973 4.546
Au -0.635 0.934 2.954
Li 2.473 0.352 2.913
Li 0.000 0.000 0.000

---

(4)
8
Lattice="4.495 -6.357 0.000 4.495 6.357 0.000 0.000 0.000 4.502" Properties=species:S:1:pos:R:3 comment="PBE Pm3ThSb4, relaxed" dft_energy_ha_per_atom=-0.21706 pbc="T T T"
Sb 4.495 -3.181 0.000
Sb 2.251 0.000 2.251
Sb 6.738 0.000 2.251
Sb 4.495 3.181 0.000
Pm 2.247 -3.178 2.251
Pm 4.495 0.000 0.000
Pm 2.247 3.178 2.251
Th 0.000 0.000 0.000

---

(5)
12
Lattice="-6.769 2.417 -2.980 6.155 -4.759 -0.119 -5.423 -7.176 6.499" Properties=species:S:1:pos:R:3 comment="PBE TmScPbSe3, relaxed" e_above_lowest_polymorph_mev_per_atom=0.0 pbc="T T T"
Se -0.934 -10.867 5.903
Se -4.252 -6.621 3.352
Se -5.104 1.348 -2.503
Se -7.663 -2.037 0.563
Se -1.785 -2.897 0.048
Se 1.625 -7.482 2.836
Tm -0.307 -1.171 -1.550
Tm -3.019 -4.759 1.700
Pb 2.013 -5.007 0.889
Pb -8.051 -4.512 2.511
Sc 0.629 -9.332 4.432
Sc -6.667 -0.187 -1.033

---

(6)
8
Lattice="2.368 -4.102 0.000 2.368 4.102 0.000 0.000 0.000 10.057" Properties=species:S:1:pos:R:3 comment="PBE Lu2MgTc, relaxed" e_above_lowest_polymorph_mev_per_atom=297.2 pbc="T T T"
Mg 2.368 -1.367 7.543
Mg 2.368 1.367 2.514
Tc 0.000 0.000 5.028
Tc 0.000 0.000 0.000
Lu 2.368 1.367 5.842
Lu 2.368 1.367 9.243
Lu 2.368 -1.367 0.813
Lu 2.368 -1.367 4.215